# 1
VASP calculation (PBE) on a relaxed structure of BaMoRh3.

Cell lengths 4.835, 4.835, 4.835 Å; angles 90.00, 90.00, 90.00 degrees
Atoms (fractional coordinates):
Mo (0.000, 0.000, 0.000)
Rh (0.000, 0.500, 0.000)
Rh (0.000, 0.000, 0.500)
Rh (0.500, 0.000, 0.000)
Ba (0.500, 0.500, 0.500)

Mass density in g cm⁻³: 8.0
Total magnetization in μB per atom: 0.000
Distance to the lowest polymorph of the same formula in eV per atom: 0.000
Final energy in eV per atom: -6.598
E_form in eV per atom: 0.364

=====

# 2
VASP calculation (PBE) on a relaxed structure of Ca2AlInS5.

Cell lengths 3.804, 8.768, 12.137 Å; angles 90.00, 90.00, 102.53 degrees
Atoms (fractional coordinates):
Ca (0.873, 0.747, 0.818)
Ca (0.105, 0.210, 0.665)
Ca (0.127, 0.253, 0.318)
Ca (0.895, 0.790, 0.165)
Al (0.560, 0.119, 0.933)
Al (0.440, 0.881, 0.433)
In (0.784, 0.568, 0.534)
In (0.216, 0.432, 0.034)
S (0.362, 0.725, 0.999)
S (0.688, 0.376, 0.885)
S (0.499, 0.998, 0.771)
S (0.281, 0.561, 0.682)
S (0.955, 0.910, 0.538)
S (0.638, 0.275, 0.499)
S (0.312, 0.624, 0.385)
S (0.501, 0.002, 0.271)
S (0.719, 0.439, 0.182)
S (0.045, 0.090, 0.038)

Mass density in g cm⁻³: 3.2
ΔE_f (raw) in kcal/mol of atoms: -31.8
Total magnetization in μB per atom: 0.000
Final energy in eV per atom: -4.839

=====

# 3
VASP calculation (PBE) on a relaxed structure of ZrTi3F.

Cell lengths 4.334, 4.334, 4.334 Å; angles 90.00, 90.00, 90.00 degrees
Atoms (fractional coordinates):
F (0.000, 0.000, 0.000)
Zr (0.500, 0.500, 0.500)
Ti (0.000, 0.500, 0.000)
Ti (0.000, 0.000, 0.500)
Ti (0.500, 0.000, 0.000)

Mass density in g cm⁻³: 5.2
ΔE_f (raw) in kcal/mol of atoms: -13.7
Total magnetization in μB per atom: 0.000
Distance to the lowest polymorph of the same formula in eV per atom: 0.000
Final energy in eV per atom: -7.413

=====

# 4
VASP calculation (PBE) on a relaxed structure of AlSbCl2.

Cell lengths 7.922, 7.922, 7.922 Å; angles 155.44, 140.13, 47.39 degrees
Atoms (fractional coordinates):
Sb (0.368, 0.368, 0.000)
Al (0.218, 0.718, 0.500)
Cl (0.100, 0.100, 0.000)
Cl (0.813, 0.313, 0.500)

Mass density in g cm⁻³: 2.8
ΔE_f (raw) in kcal/mol of atoms: -9.5
Total magnetization in μB per atom: 0.000
Distance to the lowest polymorph of the same formula in eV per atom: 0.233
Final energy in eV per atom: -3.303

=====

# 5
VASP calculation (PBE) on a relaxed structure of Li2CaTlO.

Cell lengths 4.526, 4.526, 4.519 Å; angles 90.00, 90.00, 90.00 degrees
Atoms (fractional coordinates):
Tl (0.500, 0.500, 0.500)
Ca (0.000, 0.000, 0.500)
O (0.000, 0.000, 0.000)
Li (0.000, 0.500, 0.000)
Li (0.500, 0.000, 0.000)

Mass density in g cm⁻³: 4.9
ΔE_f (raw) in kcal/mol of atoms: -24.4
Total magnetization in μB per atom: 0.000
Final energy in eV per atom: -3.687